Entry from Alexandria: an optimized crystal structure of InAgBr2 (PBE-GGA).

ΔE to the lowest computed polymorph: 4 meV/atom
Spin magnetization: 0.000 μB per atom
E_tot: -2.695 eV per atom
Density of states at the Fermi level: 0.000 states/eV per cell

Cell lengths 7.911, 7.911, 6.965 Å; angles 55.39, 55.39, 90.00 degrees
Fractional positions:
Br 0.573 0.125 0.250
Br 0.177 0.625 0.250
Br 0.375 0.427 0.750
Br 0.875 0.823 0.750
Ag 0.500 0.500 0.000
Ag 0.250 0.750 0.500
In 0.750 0.250 0.500
In 0.000 0.000 0.000

---

Entry from Alexandria: an optimized crystal structure of LaBPd2Pt (PBE-GGA).

ΔH_f (0 K): -0.66 eV per atom
Spin magnetization: 0.000 μB per atom
E_tot: -6.264 eV per atom
Density of states at the Fermi level: 2.510 states/eV per cell

Cell lengths 4.460, 4.460, 4.323 Å; angles 90.00, 90.00, 90.00 degrees
Fractional positions:
B 0.000 0.000 0.000
Pt 0.000 0.000 0.500
Pd 0.500 0.000 0.000
Pd 0.000 0.500 0.000
La 0.500 0.500 0.500

---

Q: What is the formula in the first record?
A: InAgBr2